## Sc2NbTe (PBE-GGA)

Data for crystalline Sc2NbTe at its relaxed geometry.

- DOS(E_F): 1.10 states/eV per atom
- E_form (uncorrected): 0.150 eV per atom
- Magnetic moment: 3.41 μB/cell

Unit cell a=7.9407 b=7.9407 c=5.8477 alpha=90.00 beta=90.00 gamma=90.00
Fractional coordinates of all 16 atoms:
Sc 0.2453 0.2500 0.1250
Sc 0.2500 0.7453 0.3750
Sc 0.2500 0.7547 0.8750
Sc 0.2547 0.2500 0.6250
Sc 0.7453 0.7500 0.6250
Sc 0.7500 0.2453 0.8750
Sc 0.7500 0.2547 0.3750
Sc 0.7547 0.7500 0.1250
Nb 0.0000 0.0000 0.5000
Nb 0.0000 0.5000 0.7500
Nb 0.5000 0.0000 0.2500
Nb 0.5000 0.5000 0.0000
Te 0.0000 0.0000 0.0000
Te 0.0000 0.5000 0.2500
Te 0.5000 0.0000 0.7500
Te 0.5000 0.5000 0.5000

## Cs2NaCdSb (PBE-GGA)

Data for crystalline Cs2NaCdSb at its relaxed geometry.

- DOS(E_F): 0.75 states/eV per atom
- E_form (uncorrected): -0.065 eV per atom
- Offset from the most stable computed form: 0.044 eV per atom
- Magnetic moment: 0.00 μB/cell

Unit cell a=7.7347 b=7.7347 c=5.4347 alpha=90.00 beta=90.00 gamma=90.00
Fractional coordinates of all 5 atoms:
Cs 0.0000 0.5000 0.0000
Cs 0.5000 0.0000 0.0000
Na 0.0000 0.0000 0.5000
Cd 0.5000 0.5000 0.5000
Sb 0.5000 0.5000 0.0000

## Ti2FeSbAu (PBE-GGA)

Data for crystalline Ti2FeSbAu at its relaxed geometry.

- DOS(E_F): 1.87 states/eV per atom
- E_form (uncorrected): 1.037 eV per atom
- Magnetic moment: 0.96 μB/cell

Unit cell a=4.9969 b=4.9969 c=4.5210 alpha=90.00 beta=90.00 gamma=90.00
Fractional coordinates of all 5 atoms:
Ti 0.0000 0.5000 0.0000
Ti 0.5000 0.0000 0.0000
Fe 0.0000 0.0000 0.5000
Sb 0.0000 0.0000 0.0000
Au 0.5000 0.5000 0.5000

## CdPt2Au5 (PBE-GGA)

Data for crystalline CdPt2Au5 at its relaxed geometry.

- DOS(E_F): 0.32 states/eV per atom
- ΔE_f: -0.648 eV/f.u.
- Magnetic moment: 0.00 μB/cell

Unit cell a=5.8135 b=11.6288 c=4.1575 alpha=90.00 beta=90.00 gamma=90.00
Fractional coordinates of all 16 atoms:
Cd 0.0000 0.0000 0.0000
Cd 0.5000 0.5000 0.0000
Pt 0.2499 0.1244 0.5000
Pt 0.2501 0.6244 0.5000
Pt 0.7499 0.3756 0.5000
Pt 0.7501 0.8756 0.5000
Au 0.0000 0.2494 0.0000
Au 0.0000 0.5000 0.0000
Au 0.0000 0.7506 0.0000
Au 0.2482 0.3742 0.5000
Au 0.2518 0.8742 0.5000
Au 0.5000 0.0000 0.0000
Au 0.5000 0.2506 0.0000
Au 0.5000 0.7494 0.0000
Au 0.7482 0.1258 0.5000
Au 0.7518 0.6258 0.5000

## Dy4Tl2SeS (PBE-GGA)

Data for crystalline Dy4Tl2SeS at its relaxed geometry.

- DOS(E_F): 0.42 states/eV per atom
- E_form (uncorrected): -1.107 eV per atom
- Magnetic moment: 0.00 μB/cell

Unit cell a=6.7472 b=3.8737 c=8.2611 alpha=90.00 beta=105.58 gamma=90.00
Fractional coordinates of all 8 atoms:
Dy 0.2274 0.0000 0.2060
Dy 0.2545 0.5000 0.7876
Dy 0.7455 0.5000 0.2124
Dy 0.7726 0.0000 0.7940
Tl 0.0000 0.0000 0.5000
Tl 0.5000 0.5000 0.5000
Se 0.5000 0.0000 0.0000
S 0.0000 0.5000 0.0000

## MgOsCl2 (PBE-GGA)

Data for crystalline MgOsCl2 at its relaxed geometry.

- DOS(E_F): 0.70 states/eV per atom
- E_form (uncorrected): 0.079 eV per atom
- Offset from the most stable computed form: 0.296 eV per atom
- Magnetic moment: 0.00 μB/cell

Unit cell a=3.2047 b=3.2047 c=23.6374 alpha=90.00 beta=90.00 gamma=120.00
Fractional coordinates of all 12 atoms:
Mg 0.0000 0.0000 0.0000
Mg 0.3333 0.6667 0.6667
Mg 0.6667 0.3333 0.3333
Os 0.0000 0.0000 0.5000
Os 0.3333 0.6667 0.1667
Os 0.6667 0.3333 0.8333
Cl 0.0000 0.0000 0.4008
Cl 0.0000 0.0000 0.5992
Cl 0.3333 0.6667 0.0674
Cl 0.3333 0.6667 0.2659
Cl 0.6667 0.3333 0.7341
Cl 0.6667 0.3333 0.9326

## Sm2Mg5Ag5 (PBE-GGA)

Data for crystalline Sm2Mg5Ag5 at its relaxed geometry.

- DOS(E_F): 0.62 states/eV per atom
- ΔE_f: -2.647 eV/f.u.
- Magnetic moment: 0.00 μB/cell

Unit cell a=4.6789 b=5.7729 c=9.7869 alpha=90.00 beta=90.00 gamma=90.00
Fractional coordinates of all 12 atoms:
Sm 0.0000 0.0000 0.0000
Sm 0.0000 0.5000 0.5000
Mg 0.5000 0.0000 0.5000
Mg 0.5000 0.2497 0.2395
Mg 0.5000 0.2497 0.7605
Mg 0.5000 0.7503 0.2395
Mg 0.5000 0.7503 0.7605
Ag 0.0000 0.0000 0.3329
Ag 0.0000 0.0000 0.6671
Ag 0.0000 0.5000 0.1700
Ag 0.0000 0.5000 0.8300
Ag 0.5000 0.5000 0.0000

## Tb4Nd3Y8 (PBE-GGA)

Data for crystalline Tb4Nd3Y8 at its relaxed geometry.

- DOS(E_F): 2.06 states/eV per atom
- ΔE_f: 5.777 eV/f.u.
- Magnetic moment: 0.00 μB/cell

Unit cell a=9.3315 b=9.3315 c=6.7834 alpha=111.28 beta=111.28 gamma=87.23
Fractional coordinates of all 15 atoms:
Tb 0.0000 0.0000 0.0000
Tb 0.0000 0.0000 0.5000
Tb 0.0000 0.5000 0.0000
Tb 0.5000 0.0000 0.0000
Nd 0.0000 0.5000 0.5000
Nd 0.5000 0.0000 0.5000
Nd 0.5000 0.5000 0.0000
Y 0.2521 0.7479 0.0000
Y 0.2606 0.2606 0.0111
Y 0.2682 0.2682 0.4986
Y 0.3570 0.6430 0.5000
Y 0.6430 0.3570 0.5000
Y 0.7318 0.7318 0.5014
Y 0.7394 0.7394 0.9889
Y 0.7479 0.2521 0.0000

## Cd2H3Rh3 (PBE-GGA)

Data for crystalline Cd2H3Rh3 at its relaxed geometry.

- DOS(E_F): 0.68 states/eV per atom
- Magnetic moment: 0.00 μB/cell

Unit cell a=6.3517 b=6.3517 c=2.8152 alpha=90.00 beta=90.00 gamma=120.00
Fractional coordinates of all 8 atoms:
Cd 0.3333 0.6667 0.0000
Cd 0.6667 0.3333 0.0000
H 0.0000 0.8082 0.0000
H 0.1918 0.1918 0.0000
H 0.8082 0.0000 0.0000
Rh 0.0000 0.2419 0.5000
Rh 0.2419 0.0000 0.5000
Rh 0.7581 0.7581 0.5000

## LiCrTc2 (PBE-GGA)

Data for crystalline LiCrTc2 at its relaxed geometry.

- DOS(E_F): 0.90 states/eV per atom
- Offset from the most stable computed form: 0.463 eV per atom
- ΔE_f: 2.590 eV/f.u.
- Magnetic moment: 0.00 μB/cell

Unit cell a=6.6745 b=6.6745 c=5.1683 alpha=90.00 beta=90.00 gamma=90.00
Fractional coordinates of all 16 atoms:
Li 0.0000 0.0000 0.0000
Li 0.0000 0.5000 0.2500
Li 0.5000 0.0000 0.7500
Li 0.5000 0.5000 0.5000
Cr 0.0000 0.0000 0.5000
Cr 0.0000 0.5000 0.7500
Cr 0.5000 0.0000 0.2500
Cr 0.5000 0.5000 0.0000
Tc 0.2196 0.2500 0.6250
Tc 0.2500 0.7196 0.8750
Tc 0.2500 0.7804 0.3750
Tc 0.2804 0.2500 0.1250
Tc 0.7196 0.7500 0.1250
Tc 0.7500 0.2196 0.3750
Tc 0.7500 0.2804 0.8750
Tc 0.7804 0.7500 0.6250

## TmPuCd2O6 (PBE-GGA)

Data for crystalline TmPuCd2O6 at its relaxed geometry.

- DOS(E_F): 0.96 states/eV per atom
- E_form (uncorrected): -2.279 eV per atom
- Magnetic moment: 3.00 μB/cell

Unit cell a=6.0426 b=6.0426 c=6.0426 alpha=56.58 beta=56.58 gamma=56.58
Fractional coordinates of all 10 atoms:
Tm 0.0000 0.0000 0.0000
Pu 0.4963 0.4963 0.4963
Cd 0.2784 0.2784 0.2784
Cd 0.7828 0.7828 0.7828
O 0.1293 0.7162 0.3757
O 0.2291 0.6202 0.8645
O 0.3757 0.1293 0.7162
O 0.6202 0.8645 0.2291
O 0.7162 0.3757 0.1293
O 0.8645 0.2291 0.6202

## HfZr2Fe2 (PBE-GGA)

Data for crystalline HfZr2Fe2 at its relaxed geometry.

- DOS(E_F): 1.28 states/eV per atom
- Offset from the most stable computed form: 0.336 eV per atom
- ΔE_f: 1.056 eV/f.u.
- Magnetic moment: 6.23 μB/cell

Unit cell a=3.2728 b=3.2728 c=17.9114 alpha=90.00 beta=90.00 gamma=90.00
Fractional coordinates of all 10 atoms:
Hf 0.0000 0.0000 0.0000
Hf 0.5000 0.5000 0.5000
Zr 0.0000 0.0000 0.3757
Zr 0.0000 0.0000 0.6243
Zr 0.5000 0.5000 0.1243
Zr 0.5000 0.5000 0.8757
Fe 0.0000 0.5000 0.2500
Fe 0.0000 0.5000 0.7500
Fe 0.5000 0.0000 0.2500
Fe 0.5000 0.0000 0.7500

## K4Er3USe8 (PBE-GGA)

Data for crystalline K4Er3USe8 at its relaxed geometry.

- DOS(E_F): 0.59 states/eV per atom
- E_form (uncorrected): -1.610 eV per atom
- Magnetic moment: 3.01 μB/cell

Unit cell a=9.0895 b=9.0895 c=9.0895 alpha=55.04 beta=55.04 gamma=55.04
Fractional coordinates of all 16 atoms:
K 0.0000 0.0000 0.0000
K 0.0000 0.5000 0.5000
K 0.5000 0.0000 0.5000
K 0.5000 0.5000 0.0000
Er 0.0000 0.0000 0.5000
Er 0.0000 0.5000 0.0000
Er 0.5000 0.0000 0.0000
U 0.5000 0.5000 0.5000
Se 0.2306 0.7373 0.7373
Se 0.2344 0.2344 0.2344
Se 0.2627 0.2627 0.7694
Se 0.2627 0.7694 0.2627
Se 0.7373 0.2306 0.7373
Se 0.7373 0.7373 0.2306
Se 0.7656 0.7656 0.7656
Se 0.7694 0.2627 0.2627

## HfSc2In (PBE-GGA)

Data for crystalline HfSc2In at its relaxed geometry.

- DOS(E_F): 1.23 states/eV per atom
- ΔE_f: -0.573 eV/f.u.
- Magnetic moment: 0.00 μB/cell

Unit cell a=3.2604 b=3.2604 c=30.4565 alpha=90.00 beta=90.00 gamma=120.00
Fractional coordinates of all 12 atoms:
Hf 0.0000 0.0000 0.0000
Hf 0.3333 0.6667 0.6667
Hf 0.6667 0.3333 0.3333
Sc 0.0000 0.0000 0.2507
Sc 0.0000 0.0000 0.7493
Sc 0.3333 0.6667 0.4159
Sc 0.3333 0.6667 0.9174
Sc 0.6667 0.3333 0.0826
Sc 0.6667 0.3333 0.5841
In 0.0000 0.0000 0.5000
In 0.3333 0.6667 0.1667
In 0.6667 0.3333 0.8333

## PbSN2F (PBE-GGA)

Data for crystalline PbSN2F at its relaxed geometry.

- DOS(E_F): 0.24 states/eV per atom
- E_form (uncorrected): 1.685 eV per atom
- Offset from the most stable computed form: 0.272 eV per atom
- Magnetic moment: 5.00 μB/cell

Unit cell a=4.7272 b=4.7272 c=3.8275 alpha=90.00 beta=90.00 gamma=90.00
Fractional coordinates of all 5 atoms:
Pb 0.0000 0.0000 0.0000
S 0.5000 0.5000 0.0000
N 0.0000 0.5000 0.5000
N 0.5000 0.0000 0.5000
F 0.5000 0.5000 0.5000

## SnBrN (PBE-GGA)

Data for crystalline SnBrN at its relaxed geometry.

- E_form (uncorrected): 0.523 eV per atom
- Magnetic moment: 0.00 μB/cell

Unit cell a=6.7701 b=6.8305 c=9.8349 alpha=90.00 beta=131.38 gamma=90.00
Fractional coordinates of all 12 atoms:
Sn 0.1617 0.2106 0.1186
Sn 0.1617 0.2894 0.6186
Sn 0.8383 0.7106 0.3814
Sn 0.8383 0.7894 0.8814
Br 0.2737 0.7276 0.8592
Br 0.2737 0.7724 0.3592
Br 0.7263 0.2276 0.6408
Br 0.7263 0.2725 0.1408
N 0.1657 0.6013 0.6459
N 0.1657 0.8987 0.1459
N 0.8343 0.1013 0.8541
N 0.8343 0.3987 0.3541

## PuMn2PN (PBE-GGA)

Data for crystalline PuMn2PN at its relaxed geometry.

- DOS(E_F): 1.96 states/eV per atom
- E_form (uncorrected): -0.856 eV per atom
- Magnetic moment: 14.67 μB/cell

Unit cell a=5.5670 b=5.5670 c=6.8667 alpha=90.00 beta=90.00 gamma=142.62
Fractional coordinates of all 10 atoms:
Pu 0.0398 0.9602 0.7500
Pu 0.9602 0.0398 0.2500
Mn 0.3273 0.6727 0.5566
Mn 0.3273 0.6727 0.9434
Mn 0.6727 0.3273 0.0566
Mn 0.6727 0.3273 0.4434
P 0.2345 0.7655 0.2500
P 0.7655 0.2345 0.7500
N 0.5000 0.5000 0.0000
N 0.5000 0.5000 0.5000

## TaTeN2F (PBE-GGA)

Data for crystalline TaTeN2F at its relaxed geometry.

- DOS(E_F): 0.48 states/eV per atom
- E_form (uncorrected): 0.062 eV per atom
- Offset from the most stable computed form: 0.373 eV per atom
- Magnetic moment: 0.62 μB/cell

Unit cell a=3.9430 b=3.9430 c=5.8432 alpha=90.00 beta=90.00 gamma=90.00
Fractional coordinates of all 5 atoms:
Ta 0.0000 0.0000 0.0000
Te 0.0000 0.0000 0.5000
N 0.0000 0.5000 0.0000
N 0.5000 0.0000 0.0000
F 0.5000 0.5000 0.5000

## La2Re (PBE-GGA)

Data for crystalline La2Re at its relaxed geometry.

- DOS(E_F): 1.33 states/eV per atom
- Offset from the most stable computed form: 0.169 eV per atom
- ΔE_f: 0.979 eV/f.u.
- Magnetic moment: 0.00 μB/cell

Unit cell a=3.7648 b=3.7648 c=15.3506 alpha=90.00 beta=90.00 gamma=120.00
Fractional coordinates of all 6 atoms:
La 0.3333 0.6667 0.0953
La 0.3333 0.6667 0.6899
La 0.6667 0.3333 0.3101
La 0.6667 0.3333 0.9047
Re 0.3333 0.6667 0.4642
Re 0.6667 0.3333 0.5358

## Li3Cd5Ga3 (PBE-GGA)

Data for crystalline Li3Cd5Ga3 at its relaxed geometry.

- DOS(E_F): 0.25 states/eV per atom
- ΔE_f: -0.957 eV/f.u.
- Magnetic moment: 0.00 μB/cell

Unit cell a=9.3916 b=9.3916 c=2.9928 alpha=90.00 beta=90.00 gamma=120.00
Fractional coordinates of all 11 atoms:
Li 0.0000 0.3958 0.0000
Li 0.3958 0.0000 0.0000
Li 0.6042 0.6042 0.0000
Cd 0.0000 0.6531 0.5000
Cd 0.3333 0.6667 0.5000
Cd 0.3469 0.3469 0.5000
Cd 0.6531 0.0000 0.5000
Cd 0.6667 0.3333 0.5000
Ga 0.0000 0.1620 0.5000
Ga 0.1620 0.0000 0.5000
Ga 0.8380 0.8380 0.5000

In eV/atom, the uncorrected energy values for the records above are, in order, -6.319; -1.678; -5.294; -3.754; -4.951; -4.051; -2.860; -5.251; -4.088; -7.420; -7.317; -8.584; -5.188; -6.482; -3.587; -4.144; -10.137; -6.641; -7.108; -1.850.